A relaxed structure of VAsIr3, computed with GGA-PBE.

Cell: 4.542 4.542 4.542 Å, 90.00 90.00 90.00°
Space group Pm-3m (No. 221)
Unique sites:
1 V 0.000 0.000 0.000 (multiplicity 1)
2 As 0.500 0.500 0.500 (multiplicity 1)
3 Ir 0.000 0.500 0.500 (multiplicity 3)

Computed properties:
* M_tot: 2.852 μB/f.u.
* ΔE_f: 1072 meV/atom
* E above lowest polymorph: 0.000 eV per atom

A relaxed structure of V2AsIr, computed with GGA-PBE.

Cell: 2.803 2.803 7.157 Å, 90.00 90.00 90.00°
Space group P4/mmm (No. 123)
Unique sites:
1 V 0.000 0.000 0.250 (multiplicity 2)
2 As 0.500 0.500 0.000 (multiplicity 1)
3 Ir 0.500 0.500 0.500 (multiplicity 1)

Computed properties:
* M_tot: 0.000 μB/f.u.
* ΔE_f: -309 meV/atom
* E above lowest polymorph: 0.000 eV per atom

A relaxed structure of V2AsIr, computed with GGA-PBE.

Cell: 5.645 5.645 10.964 Å, 90.00 90.00 90.00°
Space group I-42d (No. 122)
Unique sites:
1 V 0.240 0.250 0.125 (multiplicity 8)
2 As 0.000 0.000 0.500 (multiplicity 4)
3 Ir 0.000 0.000 0.000 (multiplicity 4)

Computed properties:
* M_tot: 3.394 μB/f.u.
* ΔE_f: 435 meV/atom
* E above lowest polymorph: 0.744 eV per atom